Entry from OQMD via LeMat-Bulk: a relaxed structure of BiPIrO (PBE-GGA).

Calculated values
- Total energy: -5.92 eV/atom
- Volume: 19.22 Å³/atom

```
8
Lattice="3.932 0.000 0.000 0.000 6.882 0.000 0.000 0.000 5.683" Properties=species:S:1:pos:R:3 pbc="T T T"
P 1.966 1.075 4.859
O 0.000 1.419 2.280
Ir 1.966 1.078 2.625
Bi 0.000 4.183 3.044
Bi 0.000 2.700 0.203
O 0.000 5.463 5.121
Ir 1.966 5.804 5.467
P 1.966 5.807 2.018
```